{
  "formula": "Y12Er3Th",
  "functional": "PBE",
  "state": "relaxed",
  "m_tot_mub_per_cell": 0.0,
  "formation_enthalpy_0k_mev_per_atom": 31,
  "space_group": "P4/mmm, No. 123",
  "mass_density_g_cm3": 5.84,
  "lattice_angstrom": [[5.0446, 0.0000, 0.0000], [0.0000, 5.0446, 0.0000], [0.0000, 0.0000, 20.1333]],
  "species": ["Y", "Y", "Y", "Y", "Y", "Er", "Y", "Y", "Y", "Y", "Th", "Er", "Y", "Y", "Y", "Er"],
  "fractional_positions": [[0.0000, 0.5000, 0.6251], [0.5000, 0.0000, 0.6251], [0.0000, 0.5000, 0.1242], [0.5000, 0.5000, 0.5000], [0.5000, 0.5000, 0.2515], [0.0000, 0.0000, 0.5000], [0.5000, 0.5000, 0.7485], [0.5000, 0.0000, 0.1242], [0.0000, 0.5000, 0.8758], [0.5000, 0.5000, 0.0000], [0.0000, 0.0000, 0.0000], [0.0000, 0.0000, 0.2501], [0.5000, 0.0000, 0.3749], [0.5000, 0.0000, 0.8758], [0.0000, 0.5000, 0.3749], [0.0000, 0.0000, 0.7499]]
}